Below is a relaxed La3Th4Se8 crystal, with properties calculated at the PBE level.

Unit cell a=8.4268 b=8.4566 c=8.4566 alpha=90.07 beta=119.80 gamma=119.80
Fractional positions:
1 La 0.5000 0.5000 0.0000
2 La 0.5000 0.0000 0.5000
3 La 0.5000 0.5000 0.5000
4 Th 0.5000 0.0000 0.0000
5 Th 0.0000 0.5000 0.0000
6 Th 0.0000 0.0000 0.0000
7 Th 0.0000 0.0000 0.5000
8 Se 0.5060 0.2503 0.2503
9 Se 0.0000 0.7455 0.2545
10 Se 0.9958 0.2544 0.2544
11 Se 0.5000 0.7515 0.2485
12 Se 0.5000 0.2485 0.7515
13 Se 0.0042 0.7456 0.7456
14 Se 0.0000 0.2545 0.7455
15 Se 0.4940 0.7497 0.7497

## Properties
Space-group type   C2/m, No. 12
Formation energy from raw total energies   -169.9 kJ/mol of atoms

Below is a relaxed LaTh2Se4 crystal, with properties calculated at the PBE level.

Unit cell a=7.7403 b=7.7403 c=7.7403 alpha=109.71 beta=109.00 gamma=109.71
Fractional positions:
1 La 0.7500 0.5000 0.2500
2 La 0.0000 0.0000 0.0000
3 Th 0.3750 0.8702 0.7452
4 Th 0.4952 0.3702 0.6250
5 Th 0.8750 0.1298 0.5048
6 Th 0.2548 0.6298 0.1250
7 Se 0.7788 0.2519 0.8723
8 Se 0.9712 0.5935 0.7231
9 Se 0.6204 0.7481 0.5269
10 Se 0.1296 0.4065 0.3777
11 Se 0.4731 0.0935 0.2212
12 Se 0.6223 0.7519 0.0288
13 Se 0.2769 0.2481 0.8704
14 Se 0.1277 0.9065 0.3796

## Properties
Polymorph energy (0 for the lowest one)   0 meV per atom
Space-group type   I-42d, No. 122
Formation energy from raw total energies   -166.0 kJ/mol of atoms

Below is a relaxed La2ThSe3 crystal, with properties calculated at the PBE level.

Unit cell a=7.3771 b=7.3771 c=7.4328 alpha=99.51 beta=99.51 gamma=119.83
Fractional positions:
1 La 0.8333 0.1667 0.5000
2 La 0.3333 0.6667 0.0000
3 La 0.1689 0.8311 0.5000
4 La 0.4978 0.5022 0.5000
5 Th 0.0006 0.9994 0.0000
6 Th 0.6660 0.3340 0.0000
7 Se 0.5891 0.9225 0.7558
8 Se 0.0775 0.4109 0.2442
9 Se 0.9138 0.5839 0.7527
10 Se 0.2506 0.2471 0.7527
11 Se 0.4161 0.0862 0.2473
12 Se 0.7529 0.7494 0.2473

## Properties
Space-group type   C2/m, No. 12
Formation energy from raw total energies   -177.5 kJ/mol of atoms

no.,theoretical density (g/cm³)
1,7.66
2,8.55
3,7.49